DFT (GGA-PBE) results for TmTlAgSe3 after structural relaxation.

Cell: 4.0382 14.2944 10.8693 Å, 90.00 90.00 90.00°
Space group Cmcm (No. 63)
Unique sites:
1 Tm 0.0000 0.0000 0.0000 [4 per cell]
2 Tl 0.0000 0.2461 0.2500 [4 per cell]
3 Ag 0.0000 0.4553 0.7500 [4 per cell]
4 Se 0.0000 0.0731 0.7500 [4 per cell]
5 Se 0.0000 0.3642 0.5421 [8 per cell]

Results
- distance to the lowest polymorph of the same formula (meV/atom) = 4



DFT (GGA-PBE) results for Nd3Sm3Te2Os after structural relaxation.

Cell: 8.5806 8.5806 4.0865 Å, 90.00 90.00 120.00°
Space group P-62m (No. 189)
Unique sites:
1 Nd 0.0000 0.4030 0.0000 [3 per cell]
2 Sm 0.0000 0.7620 0.5000 [3 per cell]
3 Te 0.3333 0.6667 0.5000 [2 per cell]
4 Os 0.0000 0.0000 0.0000 [1 per cell]

Results
- distance to the lowest polymorph of the same formula (meV/atom) = 0



DFT (GGA-PBE) results for Tb3Ge13Pt4 after structural relaxation.

Cell: 12.8756 12.8444 9.1520 Å, 90.00 90.31 90.00°
Space group Cc (No. 9)
Unique sites:
1 Tb 0.0000 0.0001 0.0000 [4 per cell]
2 Tb 0.1236 0.3780 0.2463 [4 per cell]
3 Tb 0.3764 0.1257 0.2451 [4 per cell]
4 Ge 0.0783 0.4252 0.9137 [4 per cell]
5 Ge 0.1188 0.3786 0.6372 [4 per cell]
6 Ge 0.1627 0.1650 0.3904 [4 per cell]
7 Ge 0.1660 0.1667 0.0969 [4 per cell]
8 Ge 0.1834 0.0713 0.7448 [4 per cell]
9 Ge 0.2509 0.2551 0.7471 [4 per cell]
10 Ge 0.3030 0.3064 0.0082 [4 per cell]
11 Ge 0.3074 0.3044 0.4741 [4 per cell]
12 Ge 0.3422 0.4852 0.2505 [4 per cell]
13 Ge 0.4076 0.0894 0.6084 [4 per cell]
14 Ge 0.4230 0.0764 0.9122 [4 per cell]
15 Ge 0.4450 0.3277 0.7467 [4 per cell]
16 Ge 0.4957 0.3412 0.2476 [4 per cell]
17 Pt 0.2452 0.0006 0.4935 [4 per cell]
18 Pt 0.2508 0.4987 0.5019 [4 per cell]
19 Pt 0.4980 0.2486 0.9988 [4 per cell]
20 Pt 0.4995 0.2498 0.4970 [4 per cell]

Results
- calculated total energy (eV/f.u.) = -108.76



DFT (GGA-PBE) results for PrNdGa2 after structural relaxation.

Cell: 4.1813 4.4677 11.3626 Å, 90.00 90.00 90.00°
Space group Amm2 (No. 38)
Unique sites:
1 Pr 0.0000 0.0000 0.0000 [2 per cell]
2 Nd 0.5000 0.0000 0.7168 [2 per cell]
3 Ga 0.0000 0.0000 0.2873 [2 per cell]
4 Ga 0.5000 0.0000 0.4273 [2 per cell]

Results
- calculated total energy (eV/f.u.) = -17.94



What did the second record say?
DFT (GGA-PBE) results for Nd3Sm3Te2Os after structural relaxation.

Cell: 8.5806 8.5806 4.0865 Å, 90.00 90.00 120.00°
Space group P-62m (No. 189)
Unique sites:
1 Nd 0.0000 0.4030 0.0000 [3 per cell]
2 Sm 0.0000 0.7620 0.5000 [3 per cell]
3 Te 0.3333 0.6667 0.5000 [2 per cell]
4 Os 0.0000 0.0000 0.0000 [1 per cell]

Results
- distance to the lowest polymorph of the same formula (meV/atom) = 0